The following is a DFT calculation (PBE) of a relaxed structure of LiZr2Nb.

Properties
V   20.366 Å³ per atom
DFT total energy   -7.1234 eV per atom
Symmetry   P4/mmm
M_tot   0.000 μB per formula unit

Lattice parameters (Å, degrees): 3.4559 3.4559 6.8209 90.00 90.00 90.00
Element x y z (fractional)
Li  0.0000  0.0000  0.0000
Zr  0.5000  0.5000  0.2631
Zr  0.5000  0.5000  0.7369
Nb  0.0000  0.0000  0.5000


The following is a DFT calculation (PBE) of a relaxed structure of KTa2Cd.

Properties
V   22.537 Å³ per atom
DFT total energy   -5.2660 eV per atom
Symmetry   Cmmm
M_tot   0.000 μB per formula unit

Lattice parameters (Å, degrees): 6.3206 6.3206 2.7576 90.00 90.00 125.09
Element x y z (fractional)
K  0.0000  0.0000  0.0000
Ta  0.0000  0.5000  0.5000
Ta  0.5000  0.0000  0.5000
Cd  0.5000  0.5000  0.0000


The following is a DFT calculation (PBE) of a relaxed structure of MgGaPbN2.

Properties
Formation energy from raw total energies   5.68 eV/f.u.
V   17.413 Å³ per atom
DFT total energy   -3.8599 eV per atom
Symmetry   P4/mmm
M_tot   0.000 μB per formula unit

Lattice parameters (Å, degrees): 4.1571 4.1571 5.0382 90.00 90.00 90.00
Element x y z (fractional)
Mg  0.0000  0.0000  0.0000
Ga  0.0000  0.0000  0.5000
Pb  0.5000  0.5000  0.5000
N  0.0000  0.5000  0.0000
N  0.5000  0.0000  0.0000


The following is a DFT calculation (PBE) of a relaxed structure of CsPaCrSe4.

Properties
Formation energy from raw total energies   -6.33 eV/f.u.
V   31.867 Å³ per atom
DFT total energy   -5.7494 eV per atom
Symmetry   Imma
M_tot   4.007 μB per formula unit

Lattice parameters (Å, degrees): 8.3529 8.3529 8.3529 113.29 110.41 104.82
Element x y z (fractional)
Cs  0.4024  0.1524  0.2500
Cs  0.5976  0.8476  0.7500
Pa  0.0000  0.0000  0.5000
Pa  0.0000  0.5000  0.0000
Cr  0.0000  0.5000  0.5000
Cr  0.5000  0.5000  0.0000
Se  0.1796  0.2498  0.9298
Se  0.1801  0.7502  0.4298
Se  0.2601  0.3326  0.5726
Se  0.2601  0.6875  0.9274
Se  0.7399  0.3125  0.0726
Se  0.7399  0.6674  0.4274
Se  0.8199  0.2498  0.5702
Se  0.8204  0.7502  0.0702


The following is a DFT calculation (PBE) of a relaxed structure of Cs8Ag3Au2.

Properties
V   54.713 Å³ per atom
DFT total energy   -1.7554 eV per atom
Symmetry   Cmmm
M_tot   1.458 μB per formula unit

Lattice parameters (Å, degrees): 10.9508 10.9508 6.3075 90.00 90.00 109.89
Element x y z (fractional)
Cs  0.1153  0.3716  0.5000
Cs  0.1238  0.8762  0.0000
Cs  0.3681  0.6319  0.0000
Cs  0.3716  0.1153  0.5000
Cs  0.6284  0.8847  0.5000
Cs  0.6319  0.3681  0.0000
Cs  0.8762  0.1238  0.0000
Cs  0.8847  0.6284  0.5000
Ag  0.0000  0.0000  0.5000
Ag  0.2559  0.2559  0.0000
Ag  0.7441  0.7441  0.0000
Au  0.2537  0.7463  0.5000
Au  0.7463  0.2537  0.5000


The following is a DFT calculation (PBE) of a relaxed structure of Ho2ZnGa8.

Properties
V   19.379 Å³ per atom
DFT total energy   -3.5071 eV per atom
Symmetry   P4/mmm
M_tot   0.000 μB per formula unit

Lattice parameters (Å, degrees): 4.4054 4.4054 10.9839 90.00 90.00 90.00
Element x y z (fractional)
Ho  0.0000  0.0000  0.1906
Ho  0.0000  0.0000  0.8094
Zn  0.0000  0.0000  0.5000
Ga  0.0000  0.5000  0.0000
Ga  0.0000  0.5000  0.3730
Ga  0.0000  0.5000  0.6270
Ga  0.5000  0.0000  0.0000
Ga  0.5000  0.0000  0.3730
Ga  0.5000  0.0000  0.6270
Ga  0.5000  0.5000  0.1951
Ga  0.5000  0.5000  0.8049